An optimized crystal structure of MgPtRh2, computed with PBE.

Cell lengths 4.7411, 4.7411, 2.8035 Å; angles 90.00, 90.00, 108.56 degrees
Fractional coordinates of all 4 atoms:
Mg 0.5000 0.0000 0.5000
Rh 0.0000 0.0000 0.0000
Rh 0.5000 0.5000 0.0000
Pt 0.0000 0.5000 0.5000

Properties
Crystal system: orthorhombic
E_form in eV/f.u.: -1.32
Fermi-level density of states in states/eV/cell: 4.178
Spin magnetization in μB per formula unit: 0.0
V in Å³/f.u.: 60

An optimized crystal structure of La4Te2AsP, computed with PBE.

Cell lengths 4.4037, 7.6220, 7.8717 Å; angles 108.87, 90.00, 90.00 degrees
Fractional coordinates of all 8 atoms:
La 0.5000 0.2452 0.2210
La 0.5000 0.7548 0.7790
La 0.0000 0.2649 0.7817
La 0.0000 0.7351 0.2183
Te 0.5000 0.0000 0.5000
Te 0.0000 0.5000 0.5000
As 0.0000 0.0000 0.0000
P 0.5000 0.5000 0.0000

Properties
Crystal system: monoclinic
Fermi-level density of states in states/eV/cell: 3.956
Raw formation energy in kJ/mol of atoms: -159.6
Spin magnetization in μB per formula unit: 0.0
V in Å³/f.u.: 250

An optimized crystal structure of CsGa3Ge2, computed with PBE.

Cell lengths 4.4468, 9.1013, 9.0667 Å; angles 111.91, 90.00, 104.14 degrees
Fractional coordinates of all 12 atoms:
Cs 0.8669 0.7338 0.9571
Cs 0.1331 0.2662 0.0429
Ga 0.3084 0.6169 0.5405
Ga 0.9477 0.8955 0.5789
Ga 0.5942 0.1884 0.6382
Ga 0.4058 0.8116 0.3618
Ga 0.0523 0.1045 0.4211
Ga 0.6916 0.3831 0.4595
Ge 0.4709 0.9419 0.7388
Ge 0.5291 0.0581 0.2612
Ge 0.8025 0.6050 0.3247
Ge 0.1975 0.3950 0.6753

Properties
ΔE to the lowest computed polymorph in meV/atom: 0.0
Crystal system: monoclinic
E_form in eV/f.u.: -0.36
Fermi-level density of states in states/eV/cell: 2.646
Spin magnetization in μB per formula unit: 0.0
V in Å³/f.u.: 164

An optimized crystal structure of K5Rb5Tl2, computed with PBE.

Cell lengths 6.0910, 13.0429, 10.9835 Å; angles 75.05, 73.90, 76.50 degrees
Fractional coordinates of all 12 atoms:
K 0.9434 0.7311 0.3821
K 0.2664 0.7213 0.7459
K 0.7336 0.2787 0.2541
K 0.0566 0.2689 0.6179
K 0.0000 0.0000 0.0000
Rb 0.5000 0.5000 0.5000
Rb 0.3500 0.3655 0.9344
Rb 0.3323 0.0146 0.3208
Rb 0.6677 0.9854 0.6792
Rb 0.6500 0.6345 0.0656
Tl 0.8675 0.5442 0.7208
Tl 0.1325 0.4558 0.2792

Properties
Crystal system: monoclinic
E_form in eV/f.u.: 0.09
Fermi-level density of states in states/eV/cell: 9.794
Spin magnetization in μB per formula unit: 0.0
V in Å³/f.u.: 798

An optimized crystal structure of CaTm2ZnPd4, computed with PBE.

Cell lengths 4.7653, 4.7653, 8.4249 Å; angles 73.57, 73.57, 60.00 degrees
Fractional coordinates of all 8 atoms:
Ca 0.0000 0.0000 0.0000
Tm 0.7570 0.7570 0.7290
Tm 0.2430 0.2430 0.2710
Zn 0.5000 0.5000 0.5000
Pd 0.3860 0.3860 0.8421
Pd 0.8735 0.8735 0.3796
Pd 0.1265 0.1265 0.6204
Pd 0.6140 0.6140 0.1579

Properties
Crystal system: trigonal
E_form in eV/f.u.: -6.10
Fermi-level density of states in states/eV/cell: 3.445
Spin magnetization in μB per formula unit: 0.0
V in Å³/f.u.: 157

An optimized crystal structure of Zr2Be17, computed with PBE.

Cell lengths 5.6770, 5.6770, 5.6770 Å; angles 82.84, 82.84, 82.84 degrees
Fractional coordinates of all 19 atoms:
Be 0.4042 0.4042 0.4042
Be 0.5958 0.5958 0.5958
Be 0.5000 0.0000 0.5000
Be 0.5000 0.5000 0.0000
Be 0.0000 0.5000 0.5000
Be 0.2136 0.5000 0.7864
Be 0.7864 0.2136 0.5000
Be 0.5000 0.7864 0.2136
Be 0.7864 0.5000 0.2136
Be 0.2136 0.7864 0.5000
Be 0.5000 0.2136 0.7864
Be 0.6593 0.1572 0.1572
Be 0.1572 0.6593 0.1572
Be 0.1572 0.1572 0.6593
Be 0.3407 0.8428 0.8428
Be 0.8428 0.8428 0.3407
Be 0.8428 0.3407 0.8428
Zr 0.1629 0.1629 0.1629
Zr 0.8371 0.8371 0.8371

Properties
Crystal system: trigonal
E_form in eV/f.u.: -4.68
Fermi-level density of states in states/eV/cell: 4.210
Spin magnetization in μB per formula unit: 0.0
V in Å³/f.u.: 179

An optimized crystal structure of LiZrAg2, computed with PBE.

Cell lengths 5.8849, 5.8849, 5.8849 Å; angles 150.79, 129.07, 59.79 degrees
Fractional coordinates of all 4 atoms:
Ag 0.9875 0.9875 0.0000
Ag 0.7508 0.2508 0.5000
Li 0.5231 0.5231 0.0000
Zr 0.2386 0.7386 0.5000

Properties
Crystal system: orthorhombic
E_form in eV/f.u.: 0.20
Fermi-level density of states in states/eV/cell: 2.526
Spin magnetization in μB per formula unit: 0.0
V in Å³/f.u.: 77

An optimized crystal structure of Pr2Zn3Pt2, computed with PBE.

Cell lengths 4.2834, 5.5519, 7.1901 Å; angles 111.62, 90.00, 112.69 degrees
Fractional coordinates of all 7 atoms:
Pr 0.8554 0.7109 0.2364
Pr 0.1446 0.2891 0.7636
Zn 0.5000 0.0000 0.0000
Zn 0.6298 0.2597 0.4353
Zn 0.3702 0.7403 0.5647
Pt 0.8607 0.7213 0.7988
Pt 0.1393 0.2787 0.2012

Properties
Crystal system: monoclinic
E_form in eV/f.u.: -5.21
Fermi-level density of states in states/eV/cell: 3.468
Spin magnetization in μB per formula unit: 0.0
V in Å³/f.u.: 145

An optimized crystal structure of Na2CuIrAu, computed with PBE.

Cell lengths 5.2241, 5.0017, 5.2241 Å; angles 90.00, 90.00, 90.00 degrees
Each line ends with the local moment (μB).
Fractional coordinates of all 5 atoms:
Na 0.0000 0.0000 0.5000  0.00
Na 0.5000 0.0000 0.0000  -0.01
Ir 0.0000 0.5000 0.0000  0.77
Au 0.0000 0.0000 0.0000  0.12
Cu 0.5000 0.5000 0.5000  0.01

Properties
Crystal system: tetragonal
E_form in eV/f.u.: 4.75
Fermi-level density of states in states/eV/cell: 4.229
Spin magnetization in μB per formula unit: 0.9
V in Å³/f.u.: 137

An optimized crystal structure of CdBiSb3, computed with PBE.

Cell lengths 5.4953, 5.4953, 5.4953 Å; angles 90.00, 90.00, 90.00 degrees
Fractional coordinates of all 5 atoms:
Sb 0.0000 0.5000 0.0000
Sb 0.0000 0.0000 0.5000
Sb 0.5000 0.0000 0.0000
Bi 0.5000 0.5000 0.5000
Cd 0.0000 0.0000 0.0000

Properties
ΔE to the lowest computed polymorph in meV/atom: 0.0
Crystal system: cubic
Fermi-level density of states in states/eV/cell: 4.588
Raw formation energy in kJ/mol of atoms: 65.4
Spin magnetization in μB per formula unit: 0.0
V in Å³/f.u.: 166

An optimized crystal structure of CeTc4As12, computed with PBE.

Cell lengths 7.5510, 7.5510, 7.5510 Å; angles 109.47, 109.47, 109.47 degrees
Fractional coordinates of all 17 atoms:
Ce 0.0000 0.0000 0.0000
Tc 0.0000 0.5000 0.0000
Tc 0.5000 0.0000 0.0000
Tc 0.5000 0.5000 0.5000
Tc 0.0000 0.0000 0.5000
As 0.8521 0.3390 0.1911
As 0.3390 0.4869 0.1479
As 0.8089 0.1479 0.6610
As 0.3390 0.1911 0.8521
As 0.1911 0.8521 0.3390
As 0.6610 0.5131 0.8521
As 0.4869 0.1479 0.3390
As 0.5131 0.8521 0.6610
As 0.6610 0.8089 0.1479
As 0.8521 0.6610 0.5131
As 0.1479 0.3390 0.4869
As 0.1479 0.6610 0.8089

Properties
Crystal system: cubic
E_form in eV/f.u.: -4.69
Fermi-level density of states in states/eV/cell: 19.289
Spin magnetization in μB per formula unit: 0.0
V in Å³/f.u.: 331

An optimized crystal structure of K2U2O5, computed with PBE.

Cell lengths 4.3486, 4.3486, 8.7269 Å; angles 90.00, 90.00, 90.00 degrees
Each line ends with the local moment (μB).
Fractional coordinates of all 9 atoms:
K 0.0000 0.0000 0.0000  0.01
K 0.0000 0.0000 0.5000  0.01
U 0.5000 0.5000 0.2530  1.73
U 0.5000 0.5000 0.7470  1.73
O 0.5000 0.0000 0.2312  -0.06
O 0.5000 0.0000 0.7688  -0.06
O 0.5000 0.5000 0.5000  -0.04
O 0.0000 0.5000 0.2312  -0.06
O 0.0000 0.5000 0.7688  -0.06

Properties
Crystal system: tetragonal
Fermi-level density of states in states/eV/cell: 7.234
Raw formation energy in kJ/mol of atoms: -251.9
Spin magnetization in μB per formula unit: 3.7
V in Å³/f.u.: 165